[1]
! Tb2Pm5Ir4 (PBE, optimized geometry); values from VASP
&SYSTEM
  ibrav = 0, nat = 11, ntyp = 3
/
ATOMIC_SPECIES
Tb 158.93 Tb.upf
Pm 145.00 Pm.upf
Ir 192.22 Ir.upf
ATOMIC_POSITIONS angstrom
Tb 5.317 0.536 3.729
Tb 3.384 3.659 3.252
Pm 5.803 -0.798 0.409
Pm 2.898 4.994 6.572
Pm 2.874 0.814 1.086
Pm -0.266 -1.135 1.553
Pm 5.826 3.381 5.895
Ir 3.350 -2.058 1.497
Ir 4.083 -2.454 -1.095
Ir 5.350 6.254 5.485
Ir 4.617 6.649 8.076
CELL_PARAMETERS angstrom
-0.531 -2.270 3.106
5.872 -3.671 -1.679
3.359 10.136 5.553
! Density   9.65 g/cm3
! E   -6.406 eV/atom
! Space-group type   No. 12
! Spin magnetization   0.00 μB/f.u.
! E_form   -182 meV per atom

[2]
! Tb2PmIr (PBE, optimized geometry); values from VASP
&SYSTEM
  ibrav = 0, nat = 4, ntyp = 3
/
ATOMIC_SPECIES
Ir 192.22 Ir.upf
Tb 158.93 Tb.upf
Pm 145.00 Pm.upf
ATOMIC_POSITIONS angstrom
Ir 1.754 1.754 0.000
Tb 0.000 0.000 7.286
Tb 0.000 0.000 1.631
Pm 1.754 1.754 4.459
CELL_PARAMETERS angstrom
3.508 0.000 0.000
0.000 3.508 0.000
0.000 0.000 8.917
! Density   9.91 g/cm3
! E   -6.110 eV/atom
! Offset from the most stable computed form   143 meV/atom
! Space-group type   No. 123
! Spin magnetization   0.00 μB/f.u.
! E_form   -392 meV per atom

[3]
! Tb4PmIr5 (PBE, optimized geometry); values from VASP
&SYSTEM
  ibrav = 0, nat = 10, ntyp = 3
/
ATOMIC_SPECIES
Tb 158.93 Tb.upf
Pm 145.00 Pm.upf
Ir 192.22 Ir.upf
ATOMIC_POSITIONS angstrom
Tb 1.414 3.093 1.320
Tb 2.793 6.111 2.607
Tb 4.172 9.128 3.895
Tb 5.551 12.146 5.182
Pm 0.000 0.000 0.000
Ir 2.074 0.334 2.215
Ir 3.446 3.336 3.496
Ir 4.824 6.352 4.783
Ir 6.203 9.369 6.070
Ir 7.575 12.370 7.351
CELL_PARAMETERS angstrom
-0.415 -1.159 3.161
3.099 -1.375 -0.097
6.965 15.239 6.502
! Density   13.99 g/cm3
! E   -7.486 eV/atom
! Space-group type   No. 123
! Spin magnetization   0.00 μB/f.u.
! E_form   -729 meV per atom

[4]
! TbPm4Ir2 (PBE, optimized geometry); values from VASP
&SYSTEM
  ibrav = 0, nat = 14, ntyp = 3
/
ATOMIC_SPECIES
Tb 158.93 Tb.upf
Pm 145.00 Pm.upf
Ir 192.22 Ir.upf
ATOMIC_POSITIONS angstrom
Tb -6.434 -5.100 0.706
Tb -2.992 0.535 -3.987
Pm -6.439 -1.584 0.019
Pm -2.903 -1.090 -0.358
Pm -6.524 -3.474 -2.922
Pm -8.333 -0.540 -2.335
Pm -5.239 1.635 -1.689
Pm -1.094 -4.025 -0.945
Pm -2.988 -2.981 -3.299
Pm -4.187 -6.200 -1.591
Ir -6.971 -0.844 3.026
Ir -2.456 -3.721 -6.307
Ir -5.167 -0.871 -2.859
Ir -4.260 -3.694 -0.421
CELL_PARAMETERS angstrom
-3.859 2.127 -4.793
0.662 -7.042 -3.658
-6.230 0.350 5.171
! Density   9.67 g/cm3
! E   -6.326 eV/atom
! Space-group type   No. 11
! Spin magnetization   0.00 μB/f.u.
! E_form   -418 meV per atom

[5]
! Tb4PmIr4 (PBE, optimized geometry); values from VASP
&SYSTEM
  ibrav = 0, nat = 18, ntyp = 3
/
ATOMIC_SPECIES
Tb 158.93 Tb.upf
Pm 145.00 Pm.upf
Ir 192.22 Ir.upf
ATOMIC_POSITIONS angstrom
Tb 2.225 2.951 8.139
Tb 5.065 5.301 7.431
Tb 2.225 6.009 0.821
Tb 0.616 1.529 5.301
Tb 3.456 8.139 6.009
Tb 0.616 7.431 3.659
Tb 5.065 3.659 1.529
Tb 3.456 0.821 2.951
Pm 0.000 0.000 0.000
Pm 2.840 4.480 4.480
Ir 3.457 7.006 3.288
Ir 3.457 1.953 5.671
Ir 0.617 7.768 6.433
Ir 5.064 2.527 7.768
Ir 5.064 6.433 1.191
Ir 2.224 3.288 1.953
Ir 2.224 5.671 7.006
Ir 0.617 1.191 2.527
CELL_PARAMETERS angstrom
5.681 0.000 0.000
0.000 8.960 0.000
0.000 0.000 8.960
! Density   11.29 g/cm3
! E   -7.144 eV/atom
! Space-group type   No. 86
! Spin magnetization   0.00 μB/f.u.
! E_form   -620 meV per atom

[6]
! Tb2PmIr (PBE, optimized geometry); values from VASP
&SYSTEM
  ibrav = 0, nat = 8, ntyp = 3
/
ATOMIC_SPECIES
Tb 158.93 Tb.upf
Pm 145.00 Pm.upf
Ir 192.22 Ir.upf
ATOMIC_POSITIONS angstrom
Tb 3.645 -1.661 1.817
Tb 4.037 -4.652 3.611
Tb 6.938 -4.625 5.411
Tb 0.744 -1.688 0.017
Pm 2.617 -5.062 0.287
Pm 5.065 -1.251 5.140
Ir 1.352 -3.328 2.299
Ir 6.330 -2.985 3.129
CELL_PARAMETERS angstrom
-1.992 -0.847 3.222
1.739 -5.541 -2.718
7.935 0.074 4.924
! Density   9.82 g/cm3
! E   -6.217 eV/atom
! Offset from the most stable computed form   35 meV/atom
! Space-group type   No. 63
! Spin magnetization   0.00 μB/f.u.
! E_form   -499 meV per atom

[7]
! Tb2PmIr (PBE, optimized geometry); values from VASP
&SYSTEM
  ibrav = 0, nat = 4, ntyp = 3
/
ATOMIC_SPECIES
Tb 158.93 Tb.upf
Pm 145.00 Pm.upf
Ir 192.22 Ir.upf
ATOMIC_POSITIONS angstrom
Tb 2.001 1.155 7.440
Tb 2.001 1.155 1.525
Pm 4.001 2.310 4.419
Ir 4.001 2.310 0.016
CELL_PARAMETERS angstrom
4.001 0.000 0.000
2.001 3.465 0.000
2.001 1.155 8.933
! Density   8.78 g/cm3
! E   -6.067 eV/atom
! Offset from the most stable computed form   186 meV/atom
! Space-group type   No. 160
! Spin magnetization   0.00 μB/f.u.
! E_form   -349 meV per atom

[8]
! Tb2PmIr (PBE, optimized geometry); values from VASP
&SYSTEM
  ibrav = 0, nat = 16, ntyp = 3
/
ATOMIC_SPECIES
Tb 158.93 Tb.upf
Pm 145.00 Pm.upf
Ir 192.22 Ir.upf
ATOMIC_POSITIONS angstrom
Tb -5.074 0.192 0.237
Tb -2.027 4.359 0.152
Tb -3.942 6.589 -1.958
Tb -7.451 8.734 1.162
Tb -4.173 9.745 -0.440
Tb -7.220 5.578 -0.356
Tb -5.306 3.348 1.755
Tb -1.796 1.203 -1.366
Pm -4.924 3.156 -1.845
Pm -1.757 4.353 -3.851
Pm -4.324 6.781 1.642
Pm -7.490 5.584 3.648
Ir -2.949 1.833 1.206
Ir -7.068 2.227 -0.240
Ir -6.298 8.104 -1.410
Ir -2.179 7.710 0.036
CELL_PARAMETERS angstrom
-1.570 2.623 -5.691
-7.055 -1.189 1.398
-0.623 8.504 4.090
! Density   9.77 g/cm3
! E   -6.253 eV/atom
! Offset from the most stable computed form   0 meV/atom
! Space-group type   No. 62
! Spin magnetization   0.00 μB/f.u.
! E_form   -535 meV per atom

[9]
! TbPm3Ir2 (PBE, optimized geometry); values from VASP
&SYSTEM
  ibrav = 0, nat = 12, ntyp = 3
/
ATOMIC_SPECIES
Tb 158.93 Tb.upf
Pm 145.00 Pm.upf
Ir 192.22 Ir.upf
ATOMIC_POSITIONS angstrom
Tb -4.983 -2.398 4.080
Tb -4.270 -0.854 0.463
Pm -6.433 0.333 6.185
Pm 0.697 -3.766 6.246
Pm -1.469 -4.026 3.383
Pm -7.404 -0.317 2.780
Pm -2.160 -0.570 3.341
Pm -3.960 -1.760 7.451
Ir -6.548 -2.728 6.346
Ir -2.046 -2.418 1.011
Ir -4.820 0.646 3.900
Ir -1.574 -2.188 5.722
CELL_PARAMETERS angstrom
-2.145 -3.762 -2.029
1.394 -4.007 5.955
-7.817 2.547 3.544
! Density   10.38 g/cm3
! E   -6.714 eV/atom
! Offset from the most stable computed form   0 meV/atom
! Space-group type   No. 26
! Spin magnetization   0.00 μB/f.u.
! E_form   -613 meV per atom

[10]
! Tb3PmIr2 (PBE, optimized geometry); values from VASP
&SYSTEM
  ibrav = 0, nat = 12, ntyp = 3
/
ATOMIC_SPECIES
Tb 158.93 Tb.upf
Pm 145.00 Pm.upf
Ir 192.22 Ir.upf
ATOMIC_POSITIONS angstrom
Tb 0.629 7.137 5.088
Tb -1.408 -0.481 7.088
Tb -3.009 1.114 4.372
Tb -1.215 7.385 2.084
Tb -0.058 2.348 3.113
Tb -0.315 4.627 7.230
Pm -2.166 4.824 4.205
Pm -1.647 3.998 0.398
Ir -2.143 6.707 6.327
Ir -2.406 1.538 1.592
Ir 0.615 5.301 2.976
Ir -0.658 1.932 5.885
CELL_PARAMETERS angstrom
-4.530 0.993 -0.833
-1.553 -1.218 6.999
1.521 8.460 1.810
! Density   11.10 g/cm3
! E   -6.745 eV/atom
! Offset from the most stable computed form   0 meV/atom
! Space-group type   No. 26
! Spin magnetization   0.00 μB/f.u.
! E_form   -684 meV per atom

[11]
! TbPmIr (PBE, optimized geometry); values from VASP
&SYSTEM
  ibrav = 0, nat = 6, ntyp = 3
/
ATOMIC_SPECIES
Tb 158.93 Tb.upf
Pm 145.00 Pm.upf
Ir 192.22 Ir.upf
ATOMIC_POSITIONS angstrom
Tb -0.315 2.043 3.450
Tb 2.060 -0.167 3.450
Pm 1.256 1.350 0.310
Pm 2.561 2.752 5.467
Ir 3.544 3.809 0.027
Ir 0.273 0.293 5.750
CELL_PARAMETERS angstrom
4.446 0.016 -1.124
-0.303 4.436 -1.124
-0.326 -0.350 8.025
! Density   10.64 g/cm3
! E   -6.615 eV/atom
! Offset from the most stable computed form   76 meV/atom
! Space-group type   No. 12
! Spin magnetization   0.00 μB/f.u.
! E_form   -534 meV per atom

[12]
! TbPm2Ir2 (PBE, optimized geometry); values from VASP
&SYSTEM
  ibrav = 0, nat = 10, ntyp = 3
/
ATOMIC_SPECIES
Tb 158.93 Tb.upf
Pm 145.00 Pm.upf
Ir 192.22 Ir.upf
ATOMIC_POSITIONS angstrom
Tb 2.042 6.727 2.028
Tb 0.000 3.059 6.607
Pm 0.000 1.849 0.555
Pm 0.000 3.899 3.310
Pm 2.042 0.231 5.325
Pm 2.042 5.517 8.080
Ir 2.042 4.058 0.924
Ir 0.000 0.820 3.298
Ir 2.042 4.488 5.338
Ir 0.000 0.390 7.712
CELL_PARAMETERS angstrom
4.083 0.000 0.000
0.000 7.336 0.000
-2.042 0.000 8.635
! Density   10.70 g/cm3
! E   -6.924 eV/atom
! Offset from the most stable computed form   98 meV/atom
! Space-group type   No. 36
! Spin magnetization   0.00 μB/f.u.
! E_form   -554 meV per atom